Density functional theory data (SCAN) for a crystal of ScSb3Br relaxed with PBEsol.

The space group is Pm-3m (No. 221) and the conventional cell measures 5.3715, 5.3715 and 5.3715 Å, with angles of 90.00, 90.00 and 90.00 degrees. The distinct sites, in fractional coordinates, are Sc at (0.0000, 0.0000, 0.0000), Sb at (0.0000, 0.0000, 0.5000) and Br at (0.5000, 0.5000, 0.5000).

For the formation energy (no corrections), the calculation gives 0.12 eV per atom. As for the total magnetization: 0.000 μB/cell.